1.
## AcIn8Ir2 (PBE)

Data for a relaxed AcIn8Ir2 crystal.

a b c (Å): 6.3952 6.3952 8.4999
angles (deg): 90.00 90.00 90.00
With the nearest neighbours (Å) after each atom.
Fractional coordinates of all 11 atoms:
In: 0.7540 0.2460 0.1903  2 Ir 2.78
In: 0.7540 0.7540 0.8097  2 Ir 2.78
In: 0.7540 0.2460 0.8097  2 Ir 2.78
In: 0.2460 0.2460 0.1903  2 Ir 2.78
In: 0.2460 0.2460 0.8097  2 Ir 2.78
In: 0.2460 0.7540 0.1903  2 Ir 2.78
In: 0.2460 0.7540 0.8097  2 Ir 2.78
In: 0.7540 0.7540 0.1903  2 Ir 2.78
Ir: 0.5000 0.0000 0.0000  8 In 2.78
Ir: 0.0000 0.5000 0.0000  8 In 2.78
Ac: 0.5000 0.5000 0.5000  8 In 3.49

Summary:
Density of states at the Fermi level, states/eV per cell: 7.3
Total DFT energy (no corrections), eV per atom: -3.9242

2.
## Ac3In9Ir2 (PBE)

Data for a relaxed Ac3In9Ir2 crystal.

a b c (Å): 4.8254 9.1339 9.1339
angles (deg): 75.27 74.68 74.68
With the nearest neighbours (Å) after each atom.
Fractional coordinates of all 14 atoms:
In: 0.3360 0.2970 0.0309  1 Ir 2.78, 4 In 2.97-3.10
In: 0.1205 0.1594 0.5995  2 Ir 2.92, 4 In 2.95-3.10
In: 0.6640 0.9691 0.7030  1 Ir 2.78, 4 In 2.97-3.10
In: 0.8795 0.8406 0.4005  2 Ir 2.92, 4 In 2.95-3.10
In: 0.3360 0.0309 0.2970  1 Ir 2.78, 4 In 2.97-3.10
In: 0.1205 0.5995 0.1594  2 Ir 2.92, 4 In 2.95-3.10
In: 0.6640 0.7030 0.9691  1 Ir 2.78, 4 In 2.97-3.10
In: 0.0000 0.5000 0.5000  4 In 2.95
In: 0.8795 0.4005 0.8406  2 Ir 2.92, 4 In 2.95-3.10
Ac: 0.0000 0.0000 0.0000  12 In 3.53-3.61
Ac: 0.6727 0.3273 0.3273  10 In 3.37-3.60, 2 Ir 3.39
Ac: 0.3273 0.6727 0.6727  10 In 3.37-3.60, 2 Ir 3.39
Ir: 0.5000 0.7189 0.2811  6 In 2.78-2.92
Ir: 0.5000 0.2811 0.7189  6 In 2.78-2.92

Summary:
Density of states at the Fermi level, states/eV per cell: 8.1
Total DFT energy (no corrections), eV per atom: -4.2587

3.
## AcIn3Ir (PBE)

Data for a relaxed AcIn3Ir crystal.

a b c (Å): 5.1958 5.1958 5.1958
angles (deg): 90.00 90.00 90.00
With the nearest neighbours (Å) after each atom.
Fractional coordinates of all 5 atoms:
In: 0.5000 0.0000 0.0000  2 Ir 2.60
In: 0.0000 0.5000 0.0000  2 Ir 2.60
In: 0.0000 0.0000 0.5000  2 Ir 2.60
Ac: 0.5000 0.5000 0.5000  12 In 3.67
Ir: 0.0000 0.0000 0.0000  6 In 2.60

Summary:
Energy above the most stable polymorph in this dataset, meV/atom: 215
Density of states at the Fermi level, states/eV per cell: 3.9
Total DFT energy (no corrections), eV per atom: -4.4457

Repeat the second record exactly.
## Ac3In9Ir2 (PBE)

Data for a relaxed Ac3In9Ir2 crystal.

a b c (Å): 4.8254 9.1339 9.1339
angles (deg): 75.27 74.68 74.68
With the nearest neighbours (Å) after each atom.
Fractional coordinates of all 14 atoms:
In: 0.3360 0.2970 0.0309  1 Ir 2.78, 4 In 2.97-3.10
In: 0.1205 0.1594 0.5995  2 Ir 2.92, 4 In 2.95-3.10
In: 0.6640 0.9691 0.7030  1 Ir 2.78, 4 In 2.97-3.10
In: 0.8795 0.8406 0.4005  2 Ir 2.92, 4 In 2.95-3.10
In: 0.3360 0.0309 0.2970  1 Ir 2.78, 4 In 2.97-3.10
In: 0.1205 0.5995 0.1594  2 Ir 2.92, 4 In 2.95-3.10
In: 0.6640 0.7030 0.9691  1 Ir 2.78, 4 In 2.97-3.10
In: 0.0000 0.5000 0.5000  4 In 2.95
In: 0.8795 0.4005 0.8406  2 Ir 2.92, 4 In 2.95-3.10
Ac: 0.0000 0.0000 0.0000  12 In 3.53-3.61
Ac: 0.6727 0.3273 0.3273  10 In 3.37-3.60, 2 Ir 3.39
Ac: 0.3273 0.6727 0.6727  10 In 3.37-3.60, 2 Ir 3.39
Ir: 0.5000 0.7189 0.2811  6 In 2.78-2.92
Ir: 0.5000 0.2811 0.7189  6 In 2.78-2.92

Summary:
Density of states at the Fermi level, states/eV per cell: 8.1
Total DFT energy (no corrections), eV per atom: -4.2587

Question: Look up the total DFT energy (no corrections) of the third one.
Answer: -4.4457 eV per atom

Question: Which of these has the lowest total DFT energy (no corrections)?
Answer: AcIn3Ir